(1)
Entry from Alexandria: Tm2AgHg6 after structural relaxation (PBE-GGA).

Properties
- Energy relative to the elements: -238 meV/atom
- Total magnetization: 0.00 μB per cell

a = 4.7166 Å, b = 9.3658 Å, c = 9.3682 Å
α = 90.00°, β = 90.00°, γ = 90.00°
Fractional positions:
Tm 0.0001 0.3140 0.8138
Tm 0.4999 0.8140 0.6862
Tm 0.5001 0.1860 0.3138
Tm 0.9999 0.6860 0.1862
Ag 0.5000 0.5000 0.0000
Ag 0.0000 0.0000 0.5000
Hg 0.0000 0.0220 0.1679
Hg 0.9999 0.6679 0.5223
Hg 0.9999 0.6457 0.8546
Hg 0.5001 0.1457 0.6454
Hg 0.5001 0.1679 0.9777
Hg 0.5000 0.5220 0.3321
Hg 0.0000 0.9780 0.8321
Hg 0.0001 0.3321 0.4777
Hg 0.0001 0.3543 0.1454
Hg 0.4999 0.8543 0.3546
Hg 0.4999 0.8321 0.0223
Hg 0.5000 0.4780 0.6679


(2)
Entry from Alexandria: Li2FeHg after structural relaxation (PBE-GGA).

Properties
- Energy relative to the elements: 186 meV/atom
- Total magnetization: 2.54 μB per cell

a = 2.9195 Å, b = 2.9195 Å, c = 7.8003 Å
α = 90.00°, β = 90.00°, γ = 89.90°
Fractional positions:
Fe 0.0000 0.0000 0.4909
Hg 0.5000 0.5000 0.7468
Li 0.0000 0.0000 0.9937
Li 0.5000 0.5000 0.2686


(3)
Entry from Alexandria: Dy3Tm2Th after structural relaxation (PBE-GGA).

Properties
- Energy relative to the elements: 92 meV/atom
- Total magnetization: 0.00 μB per cell

a = 8.8772 Å, b = 6.6094 Å, c = 6.6094 Å
α = 95.71°, β = 81.49°, γ = 81.49°
Fractional positions:
Dy 0.2500 0.4360 0.5640
Dy 0.7500 0.5640 0.4360
Dy 0.9848 0.8526 0.6856
Dy 0.5152 0.3144 0.1474
Dy 0.4848 0.6856 0.8526
Dy 0.0152 0.1474 0.3144
Tm 0.6202 0.1257 0.6235
Tm 0.1202 0.6235 0.1257
Tm 0.8798 0.3765 0.8743
Tm 0.3798 0.8743 0.3765
Th 0.7500 0.8874 0.1126
Th 0.2500 0.1126 0.8874


(4)
Entry from Alexandria: PaAlRu after structural relaxation (PBE-GGA).

Properties
- Energy relative to the elements: -483 meV/atom
- Total magnetization: 0.00 μB per cell

a = 3.1010 Å, b = 3.1010 Å, c = 6.1132 Å
α = 104.69°, β = 104.69°, γ = 90.00°
Fractional positions:
Ru 0.6811 0.6811 0.3622
Pa 0.0139 0.0139 0.0278
Al 0.3050 0.3050 0.6100